(1)
Below is a relaxed structure of Ho6CSe2S3, with properties calculated at the PBE-GGA level.

Cell and atoms, written as CIF:
```
data_Ho6CSe2S3
_space_group_name_H-M_alt 'C 1 2/m 1'
_space_group_IT_number 12
_space_group_name_Hall '-C 2y'
_cell_length_a 6.8386
_cell_length_b 11.8411
_cell_length_c 6.6658
_cell_angle_alpha 90.00
_cell_angle_beta 109.87
_cell_angle_gamma 90.00
loop_
_atom_site_label
_atom_site_fract_x
_atom_site_fract_y
_atom_site_fract_z
Ho1 0.2146 0.0000 0.2572
Ho2 0.2264 0.1469 0.7392
C1 0.0000 0.0000 0.5000
Se1 0.0000 0.3339 0.5000
S1 0.0000 0.1749 0.0000
S2 0.0000 0.5000 0.0000
```

(2)
Below is a relaxed structure of Ho6CSe3S2, with properties calculated at the PBE-GGA level.

Cell and atoms, written as CIF:
```
data_Ho6CSe3S2
_space_group_name_H-M_alt 'C 1 2/m 1'
_space_group_IT_number 12
_space_group_name_Hall '-C 2y'
_cell_length_a 6.7530
_cell_length_b 11.6766
_cell_length_c 6.9227
_cell_angle_alpha 90.00
_cell_angle_beta 108.87
_cell_angle_gamma 90.00
loop_
_atom_site_label
_atom_site_fract_x
_atom_site_fract_y
_atom_site_fract_z
Ho1 0.2245 0.1536 0.2137
Ho2 0.2339 0.0000 0.7824
C1 0.0000 0.0000 0.0000
Se1 0.0000 0.1725 0.5000
Se2 0.0000 0.5000 0.5000
S1 0.0000 0.3341 0.0000
```

(3)
Below is a relaxed structure of Ho4CSe2S, with properties calculated at the PBE-GGA level.

Cell and atoms, written as CIF:
```
data_Ho4CSe2S
_space_group_name_H-M_alt 'P 1 2/m 1'
_space_group_IT_number 10
_space_group_name_Hall '-P 2y'
_cell_length_a 6.7329
_cell_length_b 3.8339
_cell_length_c 6.9094
_cell_angle_alpha 90.00
_cell_angle_beta 108.61
_cell_angle_gamma 90.00
loop_
_atom_site_label
_atom_site_fract_x
_atom_site_fract_y
_atom_site_fract_z
Ho1 0.2153 0.0000 0.2082
Ho2 0.2354 0.5000 0.7841
C1 0.0000 0.5000 0.0000
Se1 0.0000 0.0000 0.5000
Se2 0.5000 0.5000 0.5000
S1 0.5000 0.0000 0.0000
```

(4)
Below is a relaxed structure of Ho8CSe3S3, with properties calculated at the PBE-GGA level.

Cell and atoms, written as CIF:
```
data_Ho8CSe3S3
_space_group_name_H-M_alt 'R -3 m'
_space_group_IT_number 166
_space_group_name_Hall '-R 3 2"'
_cell_length_a 7.7929
_cell_length_b 7.7929
_cell_length_c 19.6299
_cell_angle_alpha 90.00
_cell_angle_beta 90.00
_cell_angle_gamma 120.00
loop_
_atom_site_label
_atom_site_fract_x
_atom_site_fract_y
_atom_site_fract_z
Ho1 0.0000 0.0000 0.2418
Ho2 0.0267 0.5133 0.2380
C1 0.0000 0.0000 0.5000
Se1 0.0000 0.5000 0.0000
S1 0.0000 0.5000 0.5000
```

no.,ΔE_f (raw) (eV per atom)
1,-1.687
2,-1.681
3,-1.564
4,-1.576